No. 1
Computed, not measured: an optimized crystal structure of VReTcSb at the PBE-GGA level of DFT.

Values from the calculation:
formation energy (no corrections) = 0.07 eV/atom
N(E_F) = 3.18 states/eV/cell
space-group type = F-43m

Unit cell a=4.445 b=4.445 c=4.445 alpha=60.00 beta=60.00 gamma=60.00
Fractional positions:
1 V 0.000 0.000 0.000
2 Re 0.750 0.750 0.750
3 Tc 0.250 0.250 0.250
4 Sb 0.500 0.500 0.500

---

No. 2
Computed, not measured: an optimized crystal structure of In2PAu at the PBE-GGA level of DFT.

Values from the calculation:
N(E_F) = 1.81 states/eV/cell
space-group type = Cmmm
DFT formation energy = 14 kJ/mol of atoms

Unit cell a=5.336 b=5.336 c=2.953 alpha=90.00 beta=90.00 gamma=90.06
Fractional positions:
1 In 0.000 0.500 0.000
2 In 0.500 0.000 0.000
3 P 0.000 0.000 0.500
4 Au 0.500 0.500 0.500

---

No. 3
Computed, not measured: an optimized crystal structure of Mg3Cd at the PBE-GGA level of DFT.

Values from the calculation:
N(E_F) = 2.81 states/eV/cell
space-group type = Pmmn
DFT formation energy = -7 kJ/mol of atoms

Unit cell a=5.122 b=6.260 c=5.469 alpha=90.00 beta=90.00 gamma=90.00
Fractional positions:
1 Mg 0.250 0.001 0.167
2 Mg 0.250 0.250 0.655
3 Mg 0.250 0.499 0.167
4 Mg 0.750 0.501 0.833
5 Mg 0.750 0.750 0.345
6 Mg 0.750 0.999 0.833
7 Cd 0.250 0.750 0.676
8 Cd 0.750 0.250 0.324

---

No. 4
Computed, not measured: an optimized crystal structure of Tl3HgRh at the PBE-GGA level of DFT.

Values from the calculation:
energy above the lowest structure with this stoichiometry = 5.6 kJ per mole of atoms
N(E_F) = 10.81 states/eV/cell
space-group type = P2_1/c
DFT formation energy = 3 kJ/mol of atoms

Unit cell a=8.355 b=7.067 c=10.482 alpha=90.00 beta=123.17 gamma=90.00
Fractional positions:
1 Tl 0.054 0.162 0.228
2 Tl 0.054 0.338 0.728
3 Tl 0.235 0.007 0.604
4 Tl 0.235 0.493 0.104
5 Tl 0.350 0.003 0.084
6 Tl 0.350 0.497 0.584
7 Tl 0.650 0.503 0.416
8 Tl 0.650 0.997 0.916
9 Tl 0.765 0.507 0.896
10 Tl 0.765 0.993 0.396
11 Tl 0.946 0.662 0.272
12 Tl 0.946 0.838 0.772
13 Hg 0.375 0.665 0.887
14 Hg 0.375 0.835 0.387
15 Hg 0.625 0.165 0.613
16 Hg 0.625 0.335 0.113
17 Rh 0.014 0.682 0.569
18 Rh 0.014 0.818 0.069
19 Rh 0.986 0.182 0.931
20 Rh 0.986 0.318 0.431

---

No. 5
Computed, not measured: an optimized crystal structure of Ca5Al3 at the PBE-GGA level of DFT.

Values from the calculation:
energy above the lowest structure with this stoichiometry = 1.6 kJ per mole of atoms
N(E_F) = 4.33 states/eV/cell
space-group type = Cmmm
DFT formation energy = -10 kJ/mol of atoms

Unit cell a=6.709 b=6.709 c=5.285 alpha=90.00 beta=90.00 gamma=105.85
Fractional positions:
1 Ca 0.000 0.000 0.000
2 Ca 0.000 0.500 0.000
3 Ca 0.282 0.282 0.500
4 Ca 0.500 0.000 0.000
5 Ca 0.718 0.718 0.500
6 Al 0.230 0.770 0.500
7 Al 0.500 0.500 0.000
8 Al 0.770 0.230 0.500

---

No. 6
Computed, not measured: an optimized crystal structure of MgHgGe at the PBE-GGA level of DFT.

Values from the calculation:
N(E_F) = 1.56 states/eV/cell
space-group type = P4mm
DFT formation energy = 0 kJ/mol of atoms

Unit cell a=3.178 b=3.178 c=6.552 alpha=90.00 beta=90.00 gamma=90.00
Fractional positions:
1 Mg 0.000 0.000 0.000
2 Hg 0.500 0.500 0.685
3 Ge 0.500 0.500 0.272

---

No. 7
Computed, not measured: an optimized crystal structure of Sc2ReO at the PBE-GGA level of DFT.

Values from the calculation:
formation energy (no corrections) = -0.81 eV/atom
N(E_F) = 2.24 states/eV/cell
space-group type = R-3m

Unit cell a=7.998 b=7.998 c=7.998 alpha=24.03 beta=24.03 gamma=24.03
Fractional positions:
1 Sc 0.081 0.081 0.081
2 Sc 0.919 0.919 0.919
3 Re 0.500 0.500 0.500
4 O 0.000 0.000 0.000

---

No. 8
Computed, not measured: an optimized crystal structure of Ga2RuSe at the PBE-GGA level of DFT.

Values from the calculation:
formation energy (no corrections) = 0.23 eV/atom
N(E_F) = 2.97 states/eV/cell
space-group type = I-42d

Unit cell a=6.993 b=6.993 c=6.993 alpha=130.59 beta=130.59 gamma=72.46
Fractional positions:
1 Ga 0.099 0.625 0.974
2 Ga 0.375 0.349 0.474
3 Ga 0.651 0.125 0.026
4 Ga 0.875 0.901 0.526
5 Ru 0.000 0.000 0.000
6 Ru 0.750 0.250 0.500
7 Se 0.250 0.750 0.500
8 Se 0.500 0.500 0.000

---

No. 9
Computed, not measured: an optimized crystal structure of CsPmSb2 at the PBE-GGA level of DFT.

Values from the calculation:
energy above the lowest structure with this stoichiometry = 18.3 kJ per mole of atoms
formation energy (no corrections) = -0.50 eV/atom
N(E_F) = 3.91 states/eV/cell
space-group type = R-3m

Unit cell a=8.880 b=8.880 c=8.880 alpha=31.87 beta=31.87 gamma=31.87
Fractional positions:
1 Cs 0.000 0.000 0.000
2 Pm 0.500 0.500 0.500
3 Sb 0.223 0.223 0.223
4 Sb 0.777 0.777 0.777

---

No. 10
Computed, not measured: an optimized crystal structure of Ti2ReTe at the PBE-GGA level of DFT.

Values from the calculation:
formation energy (no corrections) = 0.27 eV/atom
N(E_F) = 8.61 states/eV/cell
space-group type = I-42d

Unit cell a=5.902 b=5.902 c=5.902 alpha=103.71 beta=103.71 gamma=121.73
Fractional positions:
1 Ti 0.087 0.625 0.962
2 Ti 0.375 0.337 0.462
3 Ti 0.663 0.125 0.038
4 Ti 0.875 0.913 0.538
5 Re 0.000 0.000 0.000
6 Re 0.750 0.250 0.500
7 Te 0.250 0.750 0.500
8 Te 0.500 0.500 0.000

---

No. 11
Computed, not measured: an optimized crystal structure of Ho7Hg2Rh2 at the PBE-GGA level of DFT.

Values from the calculation:
N(E_F) = 9.77 states/eV/cell
space-group type = Cmmm
DFT formation energy = -41 kJ/mol of atoms

Unit cell a=6.716 b=6.716 c=7.095 alpha=90.00 beta=90.00 gamma=107.59
Fractional positions:
1 Ho 0.000 0.000 0.000
2 Ho 0.000 0.500 0.252
3 Ho 0.000 0.500 0.748
4 Ho 0.500 0.000 0.252
5 Ho 0.500 0.000 0.748
6 Ho 0.500 0.500 0.245
7 Ho 0.500 0.500 0.755
8 Hg 0.185 0.185 0.500
9 Hg 0.815 0.815 0.500
10 Rh 0.289 0.711 0.000
11 Rh 0.711 0.289 0.000

---

No. 12
Computed, not measured: an optimized crystal structure of CaPm4Th3Se8 at the PBE-GGA level of DFT.

Values from the calculation:
formation energy (no corrections) = -1.73 eV/atom
N(E_F) = 8.53 states/eV/cell
space-group type = R-3m

Unit cell a=8.399 b=8.399 c=8.399 alpha=59.92 beta=59.92 gamma=59.92
Fractional positions:
1 Ca 0.000 0.000 0.000
2 Pm 0.000 0.000 0.500
3 Pm 0.000 0.500 0.000
4 Pm 0.500 0.000 0.000
5 Pm 0.500 0.500 0.500
6 Th 0.000 0.500 0.500
7 Th 0.500 0.000 0.500
8 Th 0.500 0.500 0.000
9 Se 0.246 0.753 0.753
10 Se 0.247 0.247 0.754
11 Se 0.247 0.754 0.247
12 Se 0.249 0.249 0.249
13 Se 0.751 0.751 0.751
14 Se 0.753 0.246 0.753
15 Se 0.753 0.753 0.246
16 Se 0.754 0.247 0.247

---

No. 13
Computed, not measured: an optimized crystal structure of Si2IrI at the PBE-GGA level of DFT.

Values from the calculation:
energy above the lowest structure with this stoichiometry = 82.5 kJ per mole of atoms
formation energy (no corrections) = 1.01 eV/atom
N(E_F) = 3.27 states/eV/cell
space-group type = Fm-3m

Unit cell a=4.669 b=4.669 c=4.669 alpha=60.00 beta=60.00 gamma=60.00
Fractional positions:
1 Si 0.250 0.250 0.250
2 Si 0.750 0.750 0.750
3 Ir 0.000 0.000 0.000
4 I 0.500 0.500 0.500

---

No. 14
Computed, not measured: an optimized crystal structure of UAgPb2 at the PBE-GGA level of DFT.

Values from the calculation:
energy above the lowest structure with this stoichiometry = 0.0 kJ per mole of atoms
N(E_F) = 6.54 states/eV/cell
space-group type = P4/mmm
DFT formation energy = 17 kJ/mol of atoms

Unit cell a=4.831 b=4.831 c=4.393 alpha=90.00 beta=90.00 gamma=90.00
Fractional positions:
1 U 0.000 0.000 0.000
2 Ag 0.500 0.500 0.000
3 Pb 0.000 0.500 0.500
4 Pb 0.500 0.000 0.500

---

No. 15
Computed, not measured: an optimized crystal structure of Fe2HgAu at the PBE-GGA level of DFT.

Values from the calculation:
N(E_F) = 4.18 states/eV/cell
space-group type = R-3m
DFT formation energy = 41 kJ/mol of atoms

Unit cell a=9.144 b=9.144 c=9.144 alpha=18.21 beta=18.21 gamma=18.21
Fractional positions:
1 Fe 0.247 0.247 0.247
2 Fe 0.753 0.753 0.753
3 Hg 0.000 0.000 0.000
4 Au 0.500 0.500 0.500

---

No. 16
Computed, not measured: an optimized crystal structure of Hf12Bi2Pb5 at the PBE-GGA level of DFT.

Values from the calculation:
N(E_F) = 14.53 states/eV/cell
space-group type = C2/m
DFT formation energy = 28 kJ/mol of atoms

Unit cell a=9.296 b=9.296 c=10.151 alpha=112.26 beta=112.26 gamma=38.98
Fractional positions:
1 Hf 0.012 0.012 0.361
2 Hf 0.072 0.564 0.888
3 Hf 0.086 0.601 0.399
4 Hf 0.363 0.363 0.671
5 Hf 0.399 0.914 0.601
6 Hf 0.436 0.928 0.112
7 Hf 0.564 0.072 0.888
8 Hf 0.601 0.086 0.399
9 Hf 0.637 0.637 0.329
10 Hf 0.914 0.399 0.601
11 Hf 0.928 0.436 0.112
12 Hf 0.988 0.988 0.639
13 Bi 0.251 0.749 0.000
14 Bi 0.749 0.251 0.000
15 Pb 0.163 0.163 0.858
16 Pb 0.190 0.190 0.372
17 Pb 0.500 0.500 0.500
18 Pb 0.810 0.810 0.628
19 Pb 0.837 0.837 0.142

---

No. 17
Computed, not measured: an optimized crystal structure of MnCrGeW at the PBE-GGA level of DFT.

Values from the calculation:
N(E_F) = 3.73 states/eV/cell
space-group type = F-43m
DFT formation energy = 5 kJ/mol of atoms

Unit cell a=4.197 b=4.197 c=4.197 alpha=60.00 beta=60.00 gamma=60.00
Fractional positions:
1 Mn 0.000 0.000 0.000
2 Cr 0.500 0.500 0.500
3 Ge 0.750 0.750 0.750
4 W 0.250 0.250 0.250

---

No. 18
Computed, not measured: an optimized crystal structure of LiHf4Ir5 at the PBE-GGA level of DFT.

Values from the calculation:
N(E_F) = 5.60 states/eV/cell
space-group type = P4/mmm
DFT formation energy = -82 kJ/mol of atoms

Unit cell a=3.326 b=3.326 c=15.170 alpha=90.00 beta=90.00 gamma=90.00
Fractional positions:
1 Li 0.000 0.000 0.000
2 Hf 0.000 0.000 0.181
3 Hf 0.000 0.000 0.395
4 Hf 0.000 0.000 0.605
5 Hf 0.000 0.000 0.819
6 Ir 0.500 0.500 0.091
7 Ir 0.500 0.500 0.295
8 Ir 0.500 0.500 0.500
9 Ir 0.500 0.500 0.705
10 Ir 0.500 0.500 0.909

---

No. 19
Computed, not measured: an optimized crystal structure of Ce8PuPb6 at the PBE-GGA level of DFT.

Values from the calculation:
N(E_F) = 24.65 states/eV/cell
space-group type = R-3
DFT formation energy = -32 kJ/mol of atoms

Unit cell a=7.951 b=7.951 c=7.951 alpha=73.24 beta=73.24 gamma=73.24
Fractional positions:
1 Ce 0.198 0.631 0.430
2 Ce 0.213 0.213 0.213
3 Ce 0.369 0.570 0.802
4 Ce 0.430 0.198 0.631
5 Ce 0.570 0.802 0.369
6 Ce 0.631 0.430 0.198
7 Ce 0.787 0.787 0.787
8 Ce 0.802 0.369 0.570
9 Pu 0.500 0.500 0.500
10 Pb 0.023 0.365 0.866
11 Pb 0.134 0.977 0.635
12 Pb 0.365 0.866 0.023
13 Pb 0.635 0.134 0.977
14 Pb 0.866 0.023 0.365
15 Pb 0.977 0.635 0.134

---

No. 20
Computed, not measured: an optimized crystal structure of TbPm2Sm2Tm2 at the PBE-GGA level of DFT.

Values from the calculation:
N(E_F) = 9.47 states/eV/cell
space-group type = C2/m
DFT formation energy = 2 kJ/mol of atoms

Unit cell a=6.206 b=6.206 c=8.016 alpha=97.46 beta=97.46 gamma=48.18
Fractional positions:
1 Tb 0.000 0.000 0.000
2 Pm 0.143 0.143 0.428
3 Pm 0.857 0.857 0.572
4 Sm 0.429 0.429 0.281
5 Sm 0.571 0.571 0.719
6 Tm 0.285 0.285 0.860
7 Tm 0.715 0.715 0.140